No. 1
DyHo4Tm7 after structural relaxation. Source: Alexandria, functional GGA-PBE.

Energy of formation: 2.12 kcal/mol of atoms
Density of states at the Fermi level: 1.722 states/eV per atom
SG: P-1 (2)
Excess energy over the best structure of this formula in the dataset: 0 meV per atom
Total moment: 0.00 μB/atom

Cell and atoms, written as POSCAR:
```
DyHo4Tm7
1.0
6.425 0.000 0.000
1.025 6.629 0.000
2.039 0.467 8.631
Dy Ho Tm
1 4 7
direct
0.000 0.000 0.000 Dy
0.163 0.617 0.311 Ho
0.361 0.194 0.713 Ho
0.639 0.806 0.287 Ho
0.837 0.383 0.689 Ho
0.000 0.500 0.000 Tm
0.188 0.108 0.386 Tm
0.318 0.704 0.643 Tm
0.484 0.249 0.050 Tm
0.516 0.751 0.950 Tm
0.682 0.296 0.357 Tm
0.812 0.892 0.614 Tm
```


No. 2
Dy5Ho2Tm12 after structural relaxation. Source: Alexandria, functional GGA-PBE.

Energy of formation: 2.91 kcal/mol of atoms
Density of states at the Fermi level: 1.577 states/eV per atom
SG: P-1 (2)
Total moment: 0.00 μB/atom

Cell and atoms, written as POSCAR:
```
Dy5Ho2Tm12
1.0
5.934 0.000 0.000
0.231 9.543 0.000
1.499 3.736 10.356
Dy Ho Tm
5 2 12
direct
0.000 0.000 0.000 Dy
0.101 0.961 0.343 Dy
0.492 0.548 0.830 Dy
0.508 0.452 0.170 Dy
0.899 0.039 0.657 Dy
0.284 0.567 0.419 Ho
0.716 0.433 0.581 Ho
0.037 0.687 0.655 Tm
0.079 0.314 0.045 Tm
0.163 0.317 0.729 Tm
0.384 0.906 0.787 Tm
0.425 0.819 0.104 Tm
0.430 0.181 0.487 Tm
0.570 0.819 0.513 Tm
0.575 0.181 0.896 Tm
0.616 0.094 0.213 Tm
0.837 0.683 0.271 Tm
0.921 0.686 0.955 Tm
0.963 0.313 0.345 Tm
```


No. 3
Dy12Ho5Tm after structural relaxation. Source: Alexandria, functional GGA-PBE.

Energy of formation: 0.45 kcal/mol of atoms
Density of states at the Fermi level: 1.356 states/eV per atom
SG: P2/m (10)
Total moment: 0.00 μB/atom

Cell and atoms, written as POSCAR:
```
Dy12Ho5Tm
1.0
10.570 0.000 0.000
0.000 4.985 0.000
-0.025 0.000 10.584
Dy Ho Tm
12 5 1
direct
0.000 0.000 0.167 Dy
0.000 0.000 0.833 Dy
0.166 0.500 0.666 Dy
0.167 0.500 0.000 Dy
0.333 0.000 0.500 Dy
0.333 0.000 0.833 Dy
0.500 0.500 0.333 Dy
0.500 0.500 0.667 Dy
0.667 0.000 0.167 Dy
0.667 0.000 0.500 Dy
0.833 0.500 0.000 Dy
0.834 0.500 0.334 Dy
0.166 0.500 0.334 Ho
0.333 0.000 0.167 Ho
0.500 0.500 0.000 Ho
0.667 0.000 0.833 Ho
0.834 0.500 0.666 Ho
0.000 0.000 0.500 Tm
```


No. 4
DyHo2Tm7 after structural relaxation. Source: Alexandria, functional GGA-PBE.

Energy of formation: 16.49 kcal/mol of atoms
Density of states at the Fermi level: 1.279 states/eV per atom
SG: Cmmm (65)
Excess energy over the best structure of this formula in the dataset: 690 meV per atom
Total moment: 0.00 μB/atom

Cell and atoms, written as POSCAR:
```
DyHo2Tm7
1.0
4.306 -8.422 0.000
4.306 8.422 0.000
0.000 0.000 5.151
Dy Ho Tm
1 2 7
direct
0.000 0.000 0.000 Dy
0.299 0.701 0.500 Ho
0.701 0.299 0.500 Ho
0.069 0.288 0.500 Tm
0.197 0.803 0.000 Tm
0.288 0.069 0.500 Tm
0.500 0.500 0.500 Tm
0.712 0.931 0.500 Tm
0.803 0.197 0.000 Tm
0.931 0.712 0.500 Tm
```


No. 5
Dy6Ho7Tm16 after structural relaxation. Source: Alexandria, functional GGA-PBE.

Energy of formation: 5.89 kcal/mol of atoms
Density of states at the Fermi level: 1.978 states/eV per atom
SG: Fm-3m (225)
Total moment: 0.21 μB/atom

Cell and atoms, written as POSCAR:
```
Dy6Ho7Tm16
1.0
0.000 7.754 7.754
7.754 0.000 7.754
7.754 7.754 0.000
Dy Ho Tm
6 7 16
direct
0.220 0.220 0.780 Dy
0.220 0.780 0.220 Dy
0.220 0.780 0.780 Dy
0.780 0.220 0.220 Dy
0.780 0.220 0.780 Dy
0.780 0.780 0.220 Dy
0.000 0.000 0.500 Ho
0.000 0.500 0.000 Ho
0.000 0.500 0.500 Ho
0.500 0.000 0.000 Ho
0.500 0.000 0.500 Ho
0.500 0.500 0.000 Ho
0.500 0.500 0.500 Ho
0.132 0.623 0.623 Tm
0.153 0.153 0.153 Tm
0.153 0.153 0.542 Tm
0.153 0.542 0.153 Tm
0.377 0.377 0.377 Tm
0.377 0.377 0.868 Tm
0.377 0.868 0.377 Tm
0.458 0.847 0.847 Tm
0.542 0.153 0.153 Tm
0.623 0.132 0.623 Tm
0.623 0.623 0.132 Tm
0.623 0.623 0.623 Tm
0.847 0.458 0.847 Tm
0.847 0.847 0.458 Tm
0.847 0.847 0.847 Tm
0.868 0.377 0.377 Tm
```


No. 6
Dy7HoTm12 after structural relaxation. Source: Alexandria, functional GGA-PBE.

Energy of formation: 7.17 kcal/mol of atoms
Density of states at the Fermi level: 0.881 states/eV per atom
SG: R-3 (148)
Excess energy over the best structure of this formula in the dataset: 0 meV per atom
Total moment: 0.00 μB/atom

Cell and atoms, written as POSCAR:
```
Dy7HoTm12
1.0
6.319 3.648 4.481
-6.319 3.648 4.481
0.000 -7.296 4.481
Dy Ho Tm
7 1 12
direct
0.000 0.000 0.000 Dy
0.146 0.478 0.415 Dy
0.415 0.146 0.478 Dy
0.478 0.415 0.146 Dy
0.522 0.585 0.854 Dy
0.585 0.854 0.522 Dy
0.854 0.522 0.585 Dy
0.500 0.500 0.500 Ho
0.017 0.351 0.082 Tm
0.082 0.017 0.351 Tm
0.187 0.315 0.751 Tm
0.249 0.813 0.685 Tm
0.315 0.751 0.187 Tm
0.351 0.082 0.017 Tm
0.649 0.918 0.983 Tm
0.685 0.249 0.813 Tm
0.751 0.187 0.315 Tm
0.813 0.685 0.249 Tm
0.918 0.983 0.649 Tm
0.983 0.649 0.918 Tm
```


No. 7
DyHoTm after structural relaxation. Source: Alexandria, functional GGA-PBE.

Energy of formation: 1.74 kcal/mol of atoms
Density of states at the Fermi level: 1.883 states/eV per atom
SG: P-6m2 (187)
Excess energy over the best structure of this formula in the dataset: 66 meV per atom
Total moment: 0.00 μB/atom

Cell and atoms, written as POSCAR:
```
DyHoTm
1.0
5.543 0.000 0.000
-2.772 4.801 0.000
0.000 0.000 3.444
Dy Ho Tm
1 1 1
direct
0.000 0.000 0.000 Dy
0.667 0.333 0.500 Ho
0.333 0.667 0.000 Tm
```


No. 8
Dy2Ho8Tm after structural relaxation. Source: Alexandria, functional GGA-PBE.

Energy of formation: 4.44 kcal/mol of atoms
Density of states at the Fermi level: 1.267 states/eV per atom
SG: C2/m (12)
Excess energy over the best structure of this formula in the dataset: 23 meV per atom
Total moment: 0.00 μB/atom

Cell and atoms, written as POSCAR:
```
Dy2Ho8Tm
1.0
8.529 -3.331 0.000
8.529 3.331 0.000
-2.168 0.000 6.036
Dy Ho Tm
2 8 1
direct
0.218 0.218 0.108 Dy
0.782 0.782 0.892 Dy
0.059 0.059 0.247 Ho
0.160 0.636 0.309 Ho
0.291 0.291 0.675 Ho
0.364 0.840 0.691 Ho
0.636 0.160 0.309 Ho
0.709 0.709 0.325 Ho
0.840 0.364 0.691 Ho
0.941 0.941 0.753 Ho
0.500 0.500 0.000 Tm
```


No. 9
Dy3Ho2Tm4 after structural relaxation. Source: Alexandria, functional GGA-PBE.

Energy of formation: 2.45 kcal/mol of atoms
Density of states at the Fermi level: 1.517 states/eV per atom
SG: C2/c (15)
Total moment: 0.00 μB/atom

Cell and atoms, written as POSCAR:
```
Dy3Ho2Tm4
1.0
8.038 -5.706 0.000
8.038 5.706 0.000
-0.647 0.000 5.997
Dy Ho Tm
6 4 8
direct
0.097 0.903 0.750 Dy
0.237 0.431 0.912 Dy
0.431 0.237 0.412 Dy
0.569 0.763 0.588 Dy
0.763 0.569 0.088 Dy
0.903 0.097 0.250 Dy
0.020 0.737 0.180 Ho
0.263 0.980 0.320 Ho
0.737 0.020 0.680 Ho
0.980 0.263 0.820 Ho
0.074 0.354 0.348 Tm
0.313 0.595 0.485 Tm
0.354 0.074 0.848 Tm
0.405 0.687 0.015 Tm
0.595 0.313 0.985 Tm
0.646 0.926 0.152 Tm
0.687 0.405 0.515 Tm
0.926 0.646 0.652 Tm
```


No. 10
DyHo2Tm2 after structural relaxation. Source: Alexandria, functional GGA-PBE.

Energy of formation: 0.53 kcal/mol of atoms
Density of states at the Fermi level: 1.407 states/eV per atom
SG: P-1 (2)
Excess energy over the best structure of this formula in the dataset: 0 meV per atom
Total moment: 0.00 μB/atom

Cell and atoms, written as POSCAR:
```
DyHo2Tm2
1.0
4.959 0.000 0.000
2.479 5.539 0.000
0.016 0.001 11.085
Dy Ho Tm
2 4 4
direct
0.250 0.000 0.250 Dy
0.750 0.000 0.750 Dy
0.050 0.400 0.850 Ho
0.150 0.201 0.550 Ho
0.850 0.799 0.450 Ho
0.950 0.600 0.150 Ho
0.350 0.800 0.950 Tm
0.450 0.601 0.650 Tm
0.550 0.399 0.350 Tm
0.650 0.200 0.050 Tm
```


No. 11
DyHo8Tm3 after structural relaxation. Source: Alexandria, functional GGA-PBE.

Energy of formation: 0.48 kcal/mol of atoms
Density of states at the Fermi level: 1.292 states/eV per atom
SG: P-1 (2)
Total moment: 0.00 μB/atom

Cell and atoms, written as POSCAR:
```
DyHo8Tm3
1.0
6.062 0.000 0.000
2.030 6.719 0.000
2.010 1.230 8.981
Dy Ho Tm
1 8 3
direct
0.000 0.000 0.000 Dy
0.000 0.334 0.666 Ho
0.000 0.666 0.334 Ho
0.001 0.833 0.666 Ho
0.500 0.167 0.833 Ho
0.500 0.333 0.167 Ho
0.500 0.667 0.833 Ho
0.500 0.833 0.167 Ho
0.999 0.167 0.334 Ho
0.000 0.500 0.000 Tm
0.500 0.000 0.500 Tm
0.500 0.500 0.500 Tm
```


No. 12
Dy2HoTm8 after structural relaxation. Source: Alexandria, functional GGA-PBE.

Energy of formation: 0.57 kcal/mol of atoms
Density of states at the Fermi level: 1.296 states/eV per atom
SG: C2/m (12)
Excess energy over the best structure of this formula in the dataset: 0 meV per atom
Total moment: 0.00 μB/atom

Cell and atoms, written as POSCAR:
```
Dy2HoTm8
1.0
8.916 -2.466 0.000
8.916 2.466 0.000
-2.058 0.000 7.542
Dy Ho Tm
2 1 8
direct
0.227 0.227 0.137 Dy
0.773 0.773 0.863 Dy
0.500 0.500 0.500 Ho
0.045 0.045 0.227 Tm
0.136 0.136 0.681 Tm
0.318 0.318 0.591 Tm
0.409 0.409 0.045 Tm
0.591 0.591 0.955 Tm
0.682 0.682 0.409 Tm
0.864 0.864 0.319 Tm
0.955 0.955 0.773 Tm
```


Repeat the second record exactly.
Dy5Ho2Tm12 after structural relaxation. Source: Alexandria, functional GGA-PBE.

Energy of formation: 2.91 kcal/mol of atoms
Density of states at the Fermi level: 1.577 states/eV per atom
SG: P-1 (2)
Total moment: 0.00 μB/atom

Cell and atoms, written as POSCAR:
```
Dy5Ho2Tm12
1.0
5.934 0.000 0.000
0.231 9.543 0.000
1.499 3.736 10.356
Dy Ho Tm
5 2 12
direct
0.000 0.000 0.000 Dy
0.101 0.961 0.343 Dy
0.492 0.548 0.830 Dy
0.508 0.452 0.170 Dy
0.899 0.039 0.657 Dy
0.284 0.567 0.419 Ho
0.716 0.433 0.581 Ho
0.037 0.687 0.655 Tm
0.079 0.314 0.045 Tm
0.163 0.317 0.729 Tm
0.384 0.906 0.787 Tm
0.425 0.819 0.104 Tm
0.430 0.181 0.487 Tm
0.570 0.819 0.513 Tm
0.575 0.181 0.896 Tm
0.616 0.094 0.213 Tm
0.837 0.683 0.271 Tm
0.921 0.686 0.955 Tm
0.963 0.313 0.345 Tm
```


What did the fourth record say?
DyHo2Tm7 after structural relaxation. Source: Alexandria, functional GGA-PBE.

Energy of formation: 16.49 kcal/mol of atoms
Density of states at the Fermi level: 1.279 states/eV per atom
SG: Cmmm (65)
Excess energy over the best structure of this formula in the dataset: 690 meV per atom
Total moment: 0.00 μB/atom

Cell and atoms, written as POSCAR:
```
DyHo2Tm7
1.0
4.306 -8.422 0.000
4.306 8.422 0.000
0.000 0.000 5.151
Dy Ho Tm
1 2 7
direct
0.000 0.000 0.000 Dy
0.299 0.701 0.500 Ho
0.701 0.299 0.500 Ho
0.069 0.288 0.500 Tm
0.197 0.803 0.000 Tm
0.288 0.069 0.500 Tm
0.500 0.500 0.500 Tm
0.712 0.931 0.500 Tm
0.803 0.197 0.000 Tm
0.931 0.712 0.500 Tm
```


> Look up the energy of formation of the second one.

2.91 kcal/mol of atoms